# 1
{
  "formula": "Er6Ag2Os",
  "functional": "PBE-GGA",
  "state": "relaxed",
  "lattice": [[-4.7166, 4.8322, 4.9551], [4.7166, -4.8322, 4.9551], [4.7166, 4.8322, -4.9551]],
  "species": ["Er", "Er", "Er", "Er", "Er", "Er", "Er", "Er", "Er", "Er", "Er", "Er", "Ag", "Ag", "Ag", "Ag", "Os", "Os"],
  "fractional_positions": [[0.0785, 0.2500, 0.8284], [0.1846, 0.2615, 0.4461], [0.1846, 0.7385, 0.9230], [0.2687, 0.6011, 0.3324], [0.2687, 0.9364, 0.6676], [0.4216, 0.2500, 0.1716], [0.5784, 0.7500, 0.8284], [0.7313, 0.0636, 0.3324], [0.7313, 0.3989, 0.6676], [0.8154, 0.2615, 0.0770], [0.8154, 0.7385, 0.5539], [0.9215, 0.7500, 0.1716], [0.3544, 0.0000, 0.3544], [0.5000, 0.3590, 0.8590], [0.5000, 0.6410, 0.1410], [0.6456, 0.0000, 0.6456], [0.0000, 0.0000, 0.0000], [0.0000, 0.5000, 0.5000]],
  "dft_energy_ev_per_atom": -5.12,
  "e_form_kj_per_mol_fu": -172,
  "sg": "Immm",
  "magnetic_moment_mub_per_cell": 0.0
}

# 2
{
  "formula": "MgRh2Se",
  "functional": "PBE-GGA",
  "state": "relaxed",
  "lattice": [[3.1291, 0.0000, 0.0000], [0.0000, 4.4753, 0.0000], [-1.5498, 0.0000, 4.6245]],
  "species": ["Mg", "Rh", "Rh", "Se"],
  "fractional_positions": [[0.0000, 0.0000, 0.0000], [0.2683, 0.0000, 0.5344], [0.6388, 0.5000, 0.2727], [0.3632, 0.5000, 0.7254]],
  "dft_energy_ev_per_atom": -5.20,
  "sg": "Pm",
  "magnetic_moment_mub_per_cell": 0.0
}

# 3
{
  "formula": "SrFe2S4",
  "functional": "PBE-GGA",
  "state": "relaxed",
  "lattice": [[7.5213, 0.0000, 0.0000], [0.0000, 7.5213, 0.0000], [0.0000, 0.0000, 5.3041]],
  "species": ["Sr", "Sr", "Fe", "Fe", "Fe", "Fe", "S", "S", "S", "S", "S", "S", "S", "S"],
  "fractional_positions": [[0.0000, 0.0000, 0.0000], [0.5000, 0.5000, 0.5000], [0.0000, 0.5000, 0.0000], [0.0000, 0.5000, 0.5000], [0.5000, 0.0000, 0.0000], [0.5000, 0.0000, 0.5000], [0.1587, 0.3413, 0.7500], [0.1587, 0.6587, 0.2500], [0.3413, 0.1587, 0.2500], [0.3413, 0.8413, 0.7500], [0.6587, 0.1587, 0.7500], [0.6587, 0.8413, 0.2500], [0.8413, 0.3413, 0.2500], [0.8413, 0.6587, 0.7500]],
  "dft_energy_ev_per_atom": -5.82,
  "sg": "I422",
  "magnetic_moment_mub_per_cell": 5.1
}

# 4
{
  "formula": "CdS",
  "functional": "PBE-GGA",
  "state": "relaxed",
  "lattice": [[10.8120, 0.0000, 0.0000], [0.0000, 10.8120, 0.0000], [0.0000, 0.0000, 4.2443]],
  "species": ["Cd", "Cd", "Cd", "Cd", "Cd", "Cd", "Cd", "Cd", "S", "S", "S", "S", "S", "S", "S", "S"],
  "fractional_positions": [[0.1187, 0.2950, 0.0000], [0.2050, 0.6187, 0.5000], [0.2950, 0.8813, 0.0000], [0.3813, 0.2050, 0.5000], [0.6187, 0.7950, 0.5000], [0.7050, 0.1187, 0.0000], [0.7950, 0.3813, 0.5000], [0.8813, 0.7050, 0.0000], [0.1125, 0.7178, 0.0000], [0.2178, 0.3875, 0.5000], [0.2822, 0.1125, 0.0000], [0.3875, 0.7822, 0.5000], [0.6125, 0.2178, 0.5000], [0.7178, 0.8875, 0.0000], [0.7822, 0.6125, 0.5000], [0.8875, 0.2822, 0.0000]],
  "dft_energy_ev_per_atom": -3.07,
  "sg": "I4/m",
  "magnetic_moment_mub_per_cell": 0.0
}

# 5
{
  "formula": "SmCu6",
  "functional": "PBE-GGA",
  "state": "relaxed",
  "lattice": [[5.4809, 0.0000, 0.0000], [0.0000, 5.4809, 0.0000], [0.0000, 0.0000, 5.4809]],
  "species": ["Sm", "Cu", "Cu", "Cu", "Cu", "Cu", "Cu"],
  "fractional_positions": [[0.0000, 0.0000, 0.0000], [0.1975, 0.5000, 0.5000], [0.5000, 0.1975, 0.5000], [0.5000, 0.5000, 0.1975], [0.5000, 0.5000, 0.8025], [0.5000, 0.8025, 0.5000], [0.8025, 0.5000, 0.5000]],
  "dft_energy_ev_per_atom": -3.38,
  "e_form_kj_per_mol_fu": 542,
  "sg": "Pm-3m",
  "magnetic_moment_mub_per_cell": 0.0
}

# 6
{
  "formula": "Hf2Nb2W",
  "functional": "PBE-GGA",
  "state": "relaxed",
  "lattice": [[3.5759, 0.0000, 0.0000], [0.0000, 3.5759, 0.0000], [0.0000, 0.0000, 16.5736]],
  "species": ["Hf", "Hf", "Hf", "Hf", "Nb", "Nb", "Nb", "Nb", "W", "W"],
  "fractional_positions": [[0.0000, 0.0000, 0.0884], [0.0000, 0.0000, 0.9116], [0.5000, 0.5000, 0.4116], [0.5000, 0.5000, 0.5884], [0.0000, 0.5000, 0.2500], [0.0000, 0.5000, 0.7500], [0.5000, 0.0000, 0.2500], [0.5000, 0.0000, 0.7500], [0.0000, 0.0000, 0.5000], [0.5000, 0.5000, 0.0000]],
  "dft_energy_ev_per_atom": -9.88,
  "e_form_kj_per_mol_fu": 348,
  "sg": "I4/mmm",
  "magnetic_moment_mub_per_cell": 0.0
}

# 7
{
  "formula": "HgTe5",
  "functional": "PBE-GGA",
  "state": "relaxed",
  "lattice": [[7.1938, 0.0000, 0.0000], [-3.5969, 6.2300, 0.0000], [0.0000, 0.0000, 4.2014]],
  "species": ["Hg", "Te", "Te", "Te", "Te", "Te"],
  "fractional_positions": [[0.0000, 0.0000, 0.0000], [0.0000, 0.6634, 0.5000], [0.3333, 0.6667, 0.0000], [0.3366, 0.3366, 0.5000], [0.6634, 0.0000, 0.5000], [0.6667, 0.3333, 0.0000]],
  "dft_energy_ev_per_atom": -2.51,
  "sg": "P-62m",
  "magnetic_moment_mub_per_cell": 0.0
}

# 8
{
  "formula": "Nd2Zn4GaAu3",
  "functional": "PBE-GGA",
  "state": "relaxed",
  "lattice": [[4.2380, 0.0000, 0.0000], [0.0000, 4.2380, 0.0000], [0.0000, 0.0000, 11.3426]],
  "species": ["Nd", "Nd", "Zn", "Zn", "Zn", "Zn", "Ga", "Au", "Au", "Au"],
  "fractional_positions": [[0.0000, 0.5000, 0.2448], [0.5000, 0.0000, 0.7552], [0.0000, 0.0000, 0.5000], [0.0000, 0.5000, 0.8658], [0.5000, 0.0000, 0.1342], [0.5000, 0.5000, 0.5000], [0.5000, 0.5000, 0.0000], [0.0000, 0.0000, 0.0000], [0.0000, 0.5000, 0.6412], [0.5000, 0.0000, 0.3588]],
  "dft_energy_ev_per_atom": -3.26,
  "e_form_kj_per_mol_fu": -495,
  "sg": "P-4m2",
  "magnetic_moment_mub_per_cell": 0.0
}

What did the first record say?
{
  "formula": "Er6Ag2Os",
  "functional": "PBE-GGA",
  "state": "relaxed",
  "lattice": [[-4.7166, 4.8322, 4.9551], [4.7166, -4.8322, 4.9551], [4.7166, 4.8322, -4.9551]],
  "species": ["Er", "Er", "Er", "Er", "Er", "Er", "Er", "Er", "Er", "Er", "Er", "Er", "Ag", "Ag", "Ag", "Ag", "Os", "Os"],
  "fractional_positions": [[0.0785, 0.2500, 0.8284], [0.1846, 0.2615, 0.4461], [0.1846, 0.7385, 0.9230], [0.2687, 0.6011, 0.3324], [0.2687, 0.9364, 0.6676], [0.4216, 0.2500, 0.1716], [0.5784, 0.7500, 0.8284], [0.7313, 0.0636, 0.3324], [0.7313, 0.3989, 0.6676], [0.8154, 0.2615, 0.0770], [0.8154, 0.7385, 0.5539], [0.9215, 0.7500, 0.1716], [0.3544, 0.0000, 0.3544], [0.5000, 0.3590, 0.8590], [0.5000, 0.6410, 0.1410], [0.6456, 0.0000, 0.6456], [0.0000, 0.0000, 0.0000], [0.0000, 0.5000, 0.5000]],
  "dft_energy_ev_per_atom": -5.12,
  "e_form_kj_per_mol_fu": -172,
  "sg": "Immm",
  "magnetic_moment_mub_per_cell": 0.0
}

Repeat the third record exactly.
{
  "formula": "SrFe2S4",
  "functional": "PBE-GGA",
  "state": "relaxed",
  "lattice": [[7.5213, 0.0000, 0.0000], [0.0000, 7.5213, 0.0000], [0.0000, 0.0000, 5.3041]],
  "species": ["Sr", "Sr", "Fe", "Fe", "Fe", "Fe", "S", "S", "S", "S", "S", "S", "S", "S"],
  "fractional_positions": [[0.0000, 0.0000, 0.0000], [0.5000, 0.5000, 0.5000], [0.0000, 0.5000, 0.0000], [0.0000, 0.5000, 0.5000], [0.5000, 0.0000, 0.0000], [0.5000, 0.0000, 0.5000], [0.1587, 0.3413, 0.7500], [0.1587, 0.6587, 0.2500], [0.3413, 0.1587, 0.2500], [0.3413, 0.8413, 0.7500], [0.6587, 0.1587, 0.7500], [0.6587, 0.8413, 0.2500], [0.8413, 0.3413, 0.2500], [0.8413, 0.6587, 0.7500]],
  "dft_energy_ev_per_atom": -5.82,
  "sg": "I422",
  "magnetic_moment_mub_per_cell": 5.1
}